K3TlV2O8 GGA+U optimized geometry; magnetization = 0.000 μB/atom; electronic total energy = -6.053 eV per atom; SG = P-3m1, No. 164
1.0
-3.214 2.594 4.320
4.102 -4.119 1.390
5.299 5.495 0.643
Tl V K O
1 2 3 8
direct
0.000 0.000 0.500
0.667 0.333 0.758
0.333 0.667 0.242
0.333 0.667 0.685
0.000 0.000 0.000
0.667 0.333 0.315
0.654 0.827 0.320
0.827 0.173 0.680
0.173 0.827 0.320
0.827 0.654 0.680
0.333 0.667 0.023
0.173 0.346 0.320
0.346 0.173 0.680
0.667 0.333 0.977